[1]
First-principles (PBE-GGA) data for a geometry-optimized ReSiAu2 structure, as listed in the Alexandria database.

abc: 10.2708 10.2708 10.2708
angles: 159.09 159.09 29.73
Last column: nearest neighbours and their distance in Å.
Atoms (fractional coordinates):
Re 0.0000 0.0000 0.0000  4 Si 2.64, 4 Au 2.81
Re 0.7500 0.2500 0.5000  4 Si 2.64, 4 Au 2.81
Si 0.2500 0.7500 0.5000  4 Re 2.64, 4 Au 2.81
Si 0.5000 0.5000 0.0000  4 Re 2.64, 4 Au 2.81
Au 0.1241 0.6250 0.9991  4 Au 2.63-2.64, 2 Re 2.81, 2 Si 2.81
Au 0.3750 0.3741 0.4991  4 Au 2.63-2.64, 2 Re 2.81, 2 Si 2.81
Au 0.6259 0.1250 0.0009  4 Au 2.63-2.64, 2 Re 2.81, 2 Si 2.81
Au 0.8750 0.8759 0.5009  4 Au 2.63-2.64, 2 Re 2.81, 2 Si 2.81

## Properties
Energy relative to the elements, uncorrected ... 0.61 eV per atom
E_tot ... -5.49 eV per atom
SG ... I-42d

[2]
First-principles (PBE-GGA) data for a geometry-optimized Y2CoOs2 structure, as listed in the Alexandria database.

abc: 6.5917 6.5917 4.5110
angles: 90.00 90.00 90.00
Last column: nearest neighbours and their distance in Å.
Atoms (fractional coordinates):
Y 0.1785 0.3215 0.0000  6 Os 2.88-3.05
Y 0.3215 0.8215 0.0000  6 Os 2.88-3.05
Y 0.6785 0.1785 0.0000  6 Os 2.88-3.05
Y 0.8215 0.6785 0.0000  6 Os 2.88-3.05
Co 0.0000 0.0000 0.5000  4 Os 2.58
Co 0.5000 0.5000 0.5000  4 Os 2.58
Os 0.1302 0.6302 0.5000  1 Os 2.43, 2 Co 2.58
Os 0.3698 0.1302 0.5000  1 Os 2.43, 2 Co 2.58
Os 0.6302 0.8698 0.5000  1 Os 2.43, 2 Co 2.58
Os 0.8698 0.3698 0.5000  1 Os 2.43, 2 Co 2.58

## Properties
Calculated formation energy ... -0.02 eV per atom
E_tot ... -8.52 eV per atom
SG ... P4/mbm

[3]
First-principles (PBE-GGA) data for a geometry-optimized Pm3Nd6Tm2Th structure, as listed in the Alexandria database.

abc: 6.2847 6.2847 12.0797
angles: 94.99 94.99 119.91
Last column: nearest neighbours and their distance in Å.
Atoms (fractional coordinates):
Pm 0.0000 0.0000 0.0000  6 Pm 3.63, 6 Nd 3.67-3.69
Pm 0.3333 0.6667 0.0000  6 Pm 3.63, 6 Nd 3.67-3.69
Pm 0.6667 0.3333 0.0000  6 Pm 3.63, 6 Nd 3.67-3.69
Nd 0.0872 0.4175 0.2542  1 Th 3.59, 6 Nd 3.59-3.65, 2 Tm 3.60, 3 Pm 3.67-3.69
Nd 0.2523 0.2523 0.7457  1 Th 3.58, 6 Nd 3.60-3.65, 2 Tm 3.60, 3 Pm 3.67-3.69
Nd 0.4175 0.0872 0.2542  1 Th 3.59, 6 Nd 3.59-3.65, 2 Tm 3.60, 3 Pm 3.67-3.69
Nd 0.5825 0.9128 0.7458  1 Th 3.59, 6 Nd 3.59-3.65, 2 Tm 3.60, 3 Pm 3.67-3.69
Nd 0.7477 0.7477 0.2543  1 Th 3.58, 6 Nd 3.60-3.65, 2 Tm 3.60, 3 Pm 3.67-3.69
Nd 0.9128 0.5825 0.7458  1 Th 3.59, 6 Nd 3.59-3.65, 2 Tm 3.60, 3 Pm 3.67-3.69
Tm 0.1667 0.8333 0.5000  6 Nd 3.60, 3 Th 3.63, 3 Tm 3.63
Tm 0.8333 0.1667 0.5000  6 Nd 3.60, 3 Th 3.63, 3 Tm 3.63
Th 0.5000 0.5000 0.5000  6 Nd 3.58-3.59, 6 Tm 3.63

## Properties
Calculated formation energy ... 0.03 eV per atom
E_tot ... -4.90 eV per atom
SG ... C2/m

E_tot of number 1 (ReSiAu2)?
-5.49 eV per atom